{"formula": "Ti3SnS", "functional": "PBE-GGA", "state": "relaxed", "cell": [[4.5966, 0.0000, 0.0000], [-2.2983, 6.0916, 0.5846], [0.0000, 0.1805, 6.8107]], "species": ["Ti", "Ti", "Ti", "Ti", "Ti", "Ti", "Sn", "Sn", "S", "S"], "frac_coords": [[0.0344, 0.0688, 0.1998], [0.9656, 0.9312, 0.8002], [0.7207, 0.4414, 0.8545], [0.2793, 0.5586, 0.1455], [0.8300, 0.6599, 0.4688], [0.1700, 0.3401, 0.5312], [0.3839, 0.7679, 0.6600], [0.6161, 0.2321, 0.3400], [0.1483, 0.2966, 0.8921], [0.8517, 0.7034, 0.1079]], "magmom_total_mub_per_fu": 0.0, "e_form_raw_ev_per_fu": -2.5, "energy_ev_per_atom": -6.86, "sg": "No. 12", "e_above_lowest_polymorph_mev_per_atom": 74}